Arrangement 1

VASP calculation (PBE-GGA) on LiAl2VGa after structural relaxation.

Structure (POSCAR):
```
LiAl2VGa
1.0
4.934 0.000 0.000
0.000 4.934 0.000
0.000 0.000 4.842
Li Al V Ga
1 2 1 1
direct
0.000 0.000 0.000 Li
0.000 0.500 0.500 Al
0.500 0.000 0.500 Al
0.000 0.000 0.500 V
0.500 0.500 0.000 Ga
```

Arrangement 2

VASP calculation (PBE-GGA) on LiAl2VGa after structural relaxation.

Structure (POSCAR):
```
LiAl2VGa
1.0
4.701 0.000 0.000
0.000 4.701 0.000
0.000 0.000 4.362
Li Al V Ga
1 2 1 1
direct
0.000 0.000 0.000 Li
0.000 0.500 0.500 Al
0.500 0.000 0.500 Al
0.500 0.500 0.000 V
0.000 0.000 0.500 Ga
```

Most favorable first, least favorable last: arrangement 1, arrangement 2

Arrangement 1

VASP calculation (PBE-GGA) on MgAl3Ga after structural relaxation.

Structure (POSCAR):
```
MgAl3Ga
1.0
7.553 0.000 0.000
0.000 5.596 0.000
-6.436 0.000 8.805
Mg Al Ga
4 12 4
direct
0.191 0.244 0.028 Mg
0.191 0.256 0.528 Mg
0.809 0.744 0.472 Mg
0.809 0.756 0.972 Mg
0.017 0.745 0.304 Al
0.017 0.755 0.804 Al
0.367 0.507 0.843 Al
0.367 0.993 0.343 Al
0.368 0.005 0.843 Al
0.368 0.495 0.343 Al
0.632 0.505 0.657 Al
0.632 0.995 0.157 Al
0.633 0.007 0.657 Al
0.633 0.493 0.157 Al
0.983 0.245 0.196 Al
0.983 0.255 0.696 Al
0.284 0.744 0.103 Ga
0.284 0.756 0.603 Ga
0.716 0.244 0.397 Ga
0.716 0.256 0.897 Ga
```

Arrangement 2

VASP calculation (PBE-GGA) on MgAl3Ga after structural relaxation.

Structure (POSCAR):
```
MgAl3Ga
1.0
3.982 0.000 0.000
0.000 8.609 0.000
-1.988 0.000 5.657
Mg Al Ga
2 6 2
direct
0.150 0.250 0.300 Mg
0.850 0.750 0.700 Mg
0.159 0.750 0.316 Al
0.340 0.009 0.678 Al
0.340 0.491 0.678 Al
0.660 0.509 0.322 Al
0.660 0.991 0.322 Al
0.841 0.250 0.684 Al
0.000 0.000 0.000 Ga
0.000 0.500 0.000 Ga
```

Most favorable first, least favorable last: arrangement 1, arrangement 2

Arrangement 1

VASP calculation (PBE-GGA) on MgAl3Ga after structural relaxation.

Structure (POSCAR):
```
MgAl3Ga
1.0
5.112 0.000 0.000
0.000 5.112 0.000
0.000 0.000 5.112
Mg Al Ga
1 3 1
direct
0.000 0.000 0.000 Mg
0.000 0.000 0.500 Al
0.000 0.500 0.000 Al
0.500 0.000 0.000 Al
0.500 0.500 0.500 Ga
```

Arrangement 2

VASP calculation (PBE-GGA) on MgAl3Ga after structural relaxation.

Structure (POSCAR):
```
MgAl3Ga
1.0
4.920 0.000 0.000
0.000 4.920 0.000
0.000 0.000 4.920
Mg Al Ga
1 3 1
direct
0.000 0.000 0.000 Mg
0.000 0.500 0.500 Al
0.500 0.000 0.500 Al
0.500 0.500 0.000 Al
0.500 0.500 0.500 Ga
```

Most favorable first, least favorable last: arrangement 2, arrangement 1

Arrangement 1

VASP calculation (PBE-GGA) on Mg5AlGa2 after structural relaxation.

Structure (POSCAR):
```
Mg5AlGa2
1.0
1.682 -7.338 0.000
1.682 7.338 0.000
0.000 0.000 13.628
Mg Al Ga
10 2 4
direct
0.077 0.923 0.634 Mg
0.077 0.923 0.866 Mg
0.098 0.902 0.250 Mg
0.405 0.595 0.561 Mg
0.405 0.595 0.939 Mg
0.595 0.405 0.061 Mg
0.595 0.405 0.439 Mg
0.902 0.098 0.750 Mg
0.923 0.077 0.134 Mg
0.923 0.077 0.366 Mg
0.243 0.757 0.750 Al
0.757 0.243 0.250 Al
0.260 0.740 0.087 Ga
0.260 0.740 0.413 Ga
0.740 0.260 0.587 Ga
0.740 0.260 0.913 Ga
```

Arrangement 2

VASP calculation (PBE-GGA) on Mg5AlGa2 after structural relaxation.

Structure (POSCAR):
```
Mg5AlGa2
1.0
4.712 0.000 0.000
-2.356 4.081 0.000
0.000 0.000 18.033
Mg Al Ga
10 2 4
direct
0.000 0.000 0.159 Mg
0.000 0.000 0.341 Mg
0.000 0.000 0.659 Mg
0.000 0.000 0.841 Mg
0.333 0.667 0.053 Mg
0.333 0.667 0.250 Mg
0.333 0.667 0.447 Mg
0.667 0.333 0.553 Mg
0.667 0.333 0.750 Mg
0.667 0.333 0.947 Mg
0.333 0.667 0.750 Al
0.667 0.333 0.250 Al
0.333 0.667 0.603 Ga
0.333 0.667 0.897 Ga
0.667 0.333 0.103 Ga
0.667 0.333 0.397 Ga
```

Most favorable first, least favorable last: arrangement 2, arrangement 1

Arrangement 1

VASP calculation (PBE-GGA) on Mg2AlGa4 after structural relaxation.

Structure (POSCAR):
```
Mg2AlGa4
1.0
5.283 0.000 0.000
0.000 2.998 0.000
-1.405 0.000 8.823
Mg Al Ga
2 1 4
direct
0.225 0.000 0.414 Mg
0.775 0.000 0.586 Mg
0.500 0.500 0.000 Al
0.062 0.500 0.147 Ga
0.334 0.000 0.738 Ga
0.666 0.000 0.262 Ga
0.938 0.500 0.853 Ga
```

Arrangement 2

VASP calculation (PBE-GGA) on Mg2AlGa4 after structural relaxation.

Structure (POSCAR):
```
Mg2AlGa4
1.0
0.000 6.544 6.544
6.544 0.000 6.544
6.544 6.544 0.000
Mg Al Ga
8 4 16
direct
0.157 0.781 0.781 Mg
0.219 0.219 0.219 Mg
0.219 0.219 0.843 Mg
0.219 0.843 0.219 Mg
0.781 0.157 0.781 Mg
0.781 0.781 0.157 Mg
0.781 0.781 0.781 Mg
0.843 0.219 0.219 Mg
0.000 0.500 0.500 Al
0.500 0.000 0.500 Al
0.500 0.500 0.000 Al
0.500 0.500 0.500 Al
0.000 0.000 0.000 Ga
0.000 0.000 0.500 Ga
0.000 0.500 0.000 Ga
0.147 0.147 0.603 Ga
0.147 0.603 0.147 Ga
0.147 0.603 0.603 Ga
0.397 0.397 0.853 Ga
0.397 0.853 0.397 Ga
0.397 0.853 0.853 Ga
0.500 0.000 0.000 Ga
0.603 0.147 0.147 Ga
0.603 0.147 0.603 Ga
0.603 0.603 0.147 Ga
0.853 0.397 0.397 Ga
0.853 0.397 0.853 Ga
0.853 0.853 0.397 Ga
```

Most favorable first, least favorable last: arrangement 2, arrangement 1

Arrangement 1

VASP calculation (PBE-GGA) on Mg2AlGa6 after structural relaxation.

Structure (POSCAR):
```
Mg2AlGa6
1.0
6.167 -4.096 0.000
6.167 4.096 0.000
-1.161 0.000 3.724
Mg Al Ga
2 1 6
direct
0.144 0.144 0.145 Mg
0.856 0.856 0.855 Mg
0.500 0.500 0.500 Al
0.102 0.559 0.331 Ga
0.278 0.722 0.000 Ga
0.441 0.898 0.669 Ga
0.559 0.102 0.331 Ga
0.722 0.278 0.000 Ga
0.898 0.441 0.669 Ga
```

Arrangement 2

VASP calculation (PBE-GGA) on Mg2AlGa6 after structural relaxation.

Structure (POSCAR):
```
Mg2AlGa6
1.0
2.966 0.000 0.000
0.000 7.224 3.988
0.000 -7.224 3.988
Mg Al Ga
2 1 6
direct
0.000 0.157 0.843 Mg
0.000 0.843 0.157 Mg
0.500 0.215 0.215 Al
0.000 0.218 0.512 Ga
0.000 0.512 0.218 Ga
0.000 0.582 0.582 Ga
0.500 0.486 0.871 Ga
0.500 0.871 0.486 Ga
0.500 0.871 0.871 Ga
```

Most favorable first, least favorable last: arrangement 2, arrangement 1